Here is a PBEsol-optimized structure of HgTeW3 from Alexandria. Energies are from meta-GGA SCAN.

```
data_HgTeW3
_space_group_name_H-M_alt 'P 1'
_space_group_IT_number 1
_cell_length_a 4.907
_cell_length_b 4.907
_cell_length_c 4.907
_cell_angle_alpha 90.00
_cell_angle_beta 90.00
_cell_angle_gamma 90.00
loop_
_space_group_symop_operation_xyz
'x,y,z'
loop_
_atom_site_label
_atom_site_fract_x
_atom_site_fract_y
_atom_site_fract_z
_atom_site_occupancy
W1 0.500 0.000 0.000 1
W2 0.000 0.500 0.000 1
W3 0.000 0.000 0.500 1
Te1 0.500 0.500 0.500 1
Hg1 0.000 0.000 0.000 1
```

Output
total DFT energy (no corrections): -298.61 eV for the cell shown
formation energy (no corrections): 3.175 eV/atom
SG: Pm-3m, No. 221
ρ: 12366 kg/m3